# BaTiAs2Se GGA-PBE optimized geometry
# total DFT energy (no corrections) = -3.436 eV per atom
# M_tot = 1.477 μB per formula unit
data_BaTiAs2Se
_chemical_formula_sum 'Ba1 Ti1 As2 Se1'
_cell_length_a 5.632
_cell_length_b 5.632
_cell_length_c 5.841
_cell_angle_alpha 90.00
_cell_angle_beta 90.00
_cell_angle_gamma 90.00
_space_group_name_H-M_alt 'P 1'
_space_group_IT_number 1
_space_group_name_Hall 'P 1'
loop_
_atom_site_label
_atom_site_fract_x
_atom_site_fract_y
_atom_site_fract_z
Ba1 0.000 0.000 0.000
Ti1 0.500 0.500 0.500
As1 0.000 0.500 0.000
As2 0.500 0.000 0.000
Se1 0.000 0.000 0.500